Entry 1:
PBE PmTmSnHg, relaxed; M_tot = 0.0005 μB/atom; VASP energy = -0.14517 hartree per atom; ΔH_f (0 K) = -0.569 eV/atom; polymorph energy (0 for the lowest one) = 0.000 eV/atom
1.0
4.432 0.000 0.000
0.000 2.206 5.750
0.000 -2.206 5.750
Pm Tm Sn Hg
1 1 1 1
direct
0.000 0.000 0.000 Pm
0.500 0.276 0.276 Tm
0.000 0.725 0.725 Sn
0.500 0.548 0.548 Hg



Entry 2:
PBE RbGeS2N, relaxed; M_tot = 0.8039 μB/atom; VASP energy = -0.09682 hartree per atom; polymorph energy (0 for the lowest one) = 1.451 eV/atom
1.0
5.746 0.000 0.000
0.000 5.746 0.000
0.000 0.000 4.984
Rb Ge S N
1 1 2 1
direct
0.000 0.000 0.000 Rb
0.500 0.500 0.500 Ge
0.000 0.500 0.000 S
0.500 0.000 0.000 S
0.000 0.000 0.500 N



Entry 3:
PBE Tm2TeRh, relaxed; M_tot = 0.0000 μB/atom; VASP energy = -0.21611 hartree per atom; polymorph energy (0 for the lowest one) = 0.000 eV/atom
1.0
2.053 1.185 7.070
-2.053 1.185 7.070
0.000 -2.370 7.070
Tm Te Rh
2 1 1
direct
0.000 0.000 0.000 Tm
0.197 0.197 0.197 Tm
0.764 0.764 0.764 Te
0.601 0.601 0.601 Rh



Entry 4:
PBE ScTiBCl2, relaxed; M_tot = 0.2572 μB/atom; VASP energy = -0.16052 hartree per atom
1.0
4.567 0.000 0.000
0.000 4.567 0.000
0.000 0.000 4.503
Sc Ti B Cl
1 1 1 2
direct
0.000 0.000 0.000 Sc
0.500 0.500 0.000 Ti
0.500 0.500 0.500 B
0.000 0.500 0.500 Cl
0.500 0.000 0.500 Cl



Entry 5:
PBE Ca5Tc2N6, relaxed; M_tot = 0.0000 μB/atom; VASP energy = -0.24703 hartree per atom
1.0
9.669 0.000 0.000
0.000 11.391 0.000
0.000 0.000 3.428
Ca Tc N
10 4 12
direct
0.000 0.000 0.000 Ca
0.084 0.245 0.000 Ca
0.164 0.507 0.000 Ca
0.336 0.007 0.000 Ca
0.416 0.745 0.000 Ca
0.500 0.500 0.000 Ca
0.584 0.255 0.000 Ca
0.664 0.993 0.000 Ca
0.836 0.493 0.000 Ca
0.916 0.755 0.000 Ca
0.169 0.731 0.500 Tc
0.331 0.231 0.500 Tc
0.669 0.769 0.500 Tc
0.831 0.269 0.500 Tc
0.009 0.627 0.500 N
0.171 0.812 0.000 N
0.174 0.106 0.500 N
0.326 0.606 0.500 N
0.329 0.312 0.000 N
0.491 0.127 0.500 N
0.509 0.873 0.500 N
0.671 0.688 0.000 N
0.674 0.394 0.500 N
0.826 0.894 0.500 N
0.829 0.188 0.000 N
0.991 0.373 0.500 N



Entry 6:
PBE CaPu4O12, relaxed; M_tot = 0.5882 μB/atom; VASP energy = -0.35551 hartree per atom
1.0
-4.124 4.124 4.036
4.124 -4.124 4.036
4.124 4.124 -4.036
Ca Pu O
1 4 12
direct
0.000 0.000 0.000 Ca
0.000 0.000 0.500 Pu
0.000 0.500 0.000 Pu
0.500 0.000 0.000 Pu
0.500 0.500 0.500 Pu
0.045 0.805 0.240 O
0.195 0.436 0.240 O
0.195 0.955 0.760 O
0.289 0.289 0.578 O
0.289 0.711 0.000 O
0.436 0.195 0.240 O
0.564 0.805 0.760 O
0.711 0.289 0.000 O
0.711 0.711 0.422 O
0.805 0.045 0.240 O
0.805 0.564 0.760 O
0.955 0.195 0.760 O



Entry 7:
PBE KRb2Np3O12, relaxed; M_tot = 0.0000 μB/atom; VASP energy = -0.29749 hartree per atom
1.0
4.030 2.327 6.032
-4.030 2.327 6.032
0.000 -4.654 6.032
K Rb Np O
1 2 3 12
direct
0.000 0.000 0.000 K
0.387 0.387 0.387 Rb
0.613 0.613 0.613 Rb
0.000 0.000 0.500 Np
0.000 0.500 0.000 Np
0.500 0.000 0.000 Np
0.104 0.723 0.723 O
0.124 0.124 0.554 O
0.124 0.554 0.124 O
0.277 0.277 0.896 O
0.277 0.896 0.277 O
0.446 0.876 0.876 O
0.554 0.124 0.124 O
0.723 0.104 0.723 O
0.723 0.723 0.104 O
0.876 0.446 0.876 O
0.876 0.876 0.446 O
0.896 0.277 0.277 O



Entry 8:
PBE CeY2Nb, relaxed; M_tot = 0.1626 μB/atom; VASP energy = -0.24556 hartree per atom; ΔH_f (0 K) = 0.551 eV/atom
1.0
1.630 0.941 11.672
-1.630 0.941 11.672
0.000 -1.882 11.672
Ce Y Nb
1 2 1
direct
0.000 0.000 0.000 Ce
0.416 0.416 0.416 Y
0.584 0.584 0.584 Y
0.500 0.500 0.500 Nb